Entry 1:
A relaxed structure of Ba2ZrCl, computed with GGA-PBE.

Calculated total energy: -3.59 eV per atom

Unit cell a=7.085 b=7.085 c=7.085 alpha=146.13 beta=115.54 gamma=74.84
Element x y z (fractional)
Ba  0.204  0.204  0.000
Ba  0.796  0.796  0.000
Zr  0.500  0.000  0.500
Cl  0.000  0.500  0.500


Entry 2:
A relaxed structure of Ba3ZrCl, computed with GGA-PBE.

Calculated total energy: -3.39 eV per atom

Unit cell a=6.091 b=6.091 c=6.091 alpha=90.00 beta=90.00 gamma=90.00
Element x y z (fractional)
Ba  0.000  0.000  0.500
Ba  0.000  0.500  0.000
Ba  0.500  0.000  0.000
Zr  0.500  0.500  0.500
Cl  0.000  0.000  0.000